Below is crystalline Tb2NdEr5 at its relaxed geometry, with properties calculated at the PBE-GGA level.

E = -73.394 eV/cell
total magnetic moment = 0.00 μB per cell
energy relative to the elements = 0.146 eV/f.u.

abc: 7.0851 14.1778 4.9953
angles: 90.00 90.00 90.00
Closest atoms and distances in Å follow each position.
Fractional coordinates of all 16 atoms:
Tb  0.2484  0.1261  0.0000  10 Er 3.52-3.57, 2 Nd 3.55
Tb  0.2516  0.6261  0.0000  10 Er 3.52-3.57, 2 Nd 3.55
Tb  0.7484  0.3739  0.0000  10 Er 3.52-3.57, 2 Nd 3.55
Tb  0.7516  0.8739  0.0000  10 Er 3.52-3.57, 2 Nd 3.55
Nd  0.0000  0.5000  0.5000  8 Er 3.54-3.56, 4 Tb 3.55
Nd  0.5000  0.0000  0.5000  8 Er 3.54-3.56, 4 Tb 3.55
Er  0.0000  0.0000  0.5000  6 Er 3.53-3.54, 4 Tb 3.54, 2 Nd 3.54
Er  0.0010  0.7511  0.5000  4 Tb 3.52-3.54, 7 Er 3.52-3.54, 1 Nd 3.56
Er  0.2499  0.3741  0.0000  4 Tb 3.52-3.57, 6 Er 3.52-3.54, 2 Nd 3.54
Er  0.2501  0.8741  0.0000  4 Tb 3.52-3.57, 6 Er 3.52-3.54, 2 Nd 3.54
Er  0.4990  0.2511  0.5000  4 Tb 3.52-3.54, 7 Er 3.52-3.54, 1 Nd 3.56
Er  0.5000  0.5000  0.5000  6 Er 3.53-3.54, 4 Tb 3.54, 2 Nd 3.54
Er  0.5010  0.7489  0.5000  4 Tb 3.52-3.54, 7 Er 3.52-3.54, 1 Nd 3.56
Er  0.7499  0.1259  0.0000  4 Tb 3.52-3.57, 6 Er 3.52-3.54, 2 Nd 3.54
Er  0.7501  0.6259  0.0000  4 Tb 3.52-3.57, 6 Er 3.52-3.54, 2 Nd 3.54
Er  0.9990  0.2489  0.5000  4 Tb 3.52-3.54, 7 Er 3.52-3.54, 1 Nd 3.56

=====

Below is crystalline Sr2TlHIr at its relaxed geometry, with properties calculated at the PBE-GGA level.

E = -19.140 eV/cell
total magnetic moment = 0.00 μB per cell

abc: 5.4299 5.4299 3.8330
angles: 90.00 90.00 90.00
Closest atoms and distances in Å follow each position.
Fractional coordinates of all 5 atoms:
Sr  0.0000  0.5000  0.0000  2 H 2.71
Sr  0.5000  0.0000  0.0000  2 H 2.71
Tl  0.0000  0.0000  0.5000  8 Sr 3.32
H  0.5000  0.5000  0.0000  2 Ir 1.92
Ir  0.5000  0.5000  0.5000  2 H 1.92

=====

Below is crystalline LiTl2H6Ir at its relaxed geometry, with properties calculated at the PBE-GGA level.

E = -36.998 eV/cell
total magnetic moment = 0.00 μB per cell

abc: 5.5239 5.5239 5.0238
angles: 90.00 90.00 120.00
Closest atoms and distances in Å follow each position.
Fractional coordinates of all 10 atoms:
Li  0.0000  0.0000  0.0000  6 H 2.07
Tl  0.3333  0.6667  0.7609  9 H 2.79-2.92
Tl  0.6667  0.3333  0.2391  9 H 2.79-2.92
H  0.1442  0.2884  0.3058  1 Ir 1.69
H  0.1442  0.8558  0.3058  1 Ir 1.69
H  0.2884  0.1442  0.6942  1 Ir 1.69
H  0.7116  0.8558  0.3058  1 Ir 1.69
H  0.8558  0.1442  0.6942  1 Ir 1.69
H  0.8558  0.7116  0.6942  1 Ir 1.69
Ir  0.0000  0.0000  0.5000  6 H 1.69

=====

Below is crystalline BaAlCrS4 at its relaxed geometry, with properties calculated at the PBE-GGA level.

E = -79.930 eV/cell
total magnetic moment = 6.00 μB per cell
raw formation energy = -1.167 eV/atom

abc: 5.1592 6.7777 9.5244
angles: 90.00 105.16 90.00
Closest atoms and distances in Å follow each position.
Fractional coordinates of all 14 atoms:
Ba  0.2003  0.2500  0.3569  9 S 3.21-3.55
Ba  0.7997  0.7500  0.6431  9 S 3.21-3.55
Al  0.0856  0.2500  0.7807  4 S 2.19-2.31
Al  0.9144  0.7500  0.2193  4 S 2.19-2.31
Cr  0.4386  0.7500  0.9938  5 S 2.32-2.46
Cr  0.5614  0.2500  0.0062  5 S 2.32-2.46
S  0.0077  0.2500  0.0009  1 Al 2.24, 1 Cr 2.32
S  0.2004  0.7500  0.4338  1 Al 2.19
S  0.4027  0.0025  0.8137  1 Al 2.31, 2 Cr 2.40-2.46
S  0.4027  0.4975  0.8137  1 Al 2.31, 2 Cr 2.40-2.46
S  0.5973  0.5025  0.1863  1 Al 2.31, 2 Cr 2.40-2.46
S  0.5973  0.9975  0.1863  1 Al 2.31, 2 Cr 2.40-2.46
S  0.7996  0.2500  0.5662  1 Al 2.19
S  0.9923  0.7500  0.9991  1 Al 2.24, 1 Cr 2.32